Entry 1:
KNa2Ag2Sb2 GGA-PBE relaxed; magnetization = 0.0 μB per cell; density = 4.41 g/cm³; raw total energy = -2.84 eV/atom
1.0
-4.4814 1.4840 -0.9566
-3.7692 -2.4588 1.7170
-2.6508 5.4118 8.6870
Sb Na K Ag
2 2 1 2
Direct
0.2488 0.2488 0.2536
0.7512 0.7512 0.7464
0.1384 0.1384 0.5847
0.8616 0.8616 0.4153
0.0000 0.0000 0.0000
0.4200 0.4200 0.7400
0.5800 0.5800 0.2600


Entry 2:
KNaAg2Se2 GGA-PBE relaxed; magnetization = 0.0 μB per cell; density = 4.71 g/cm³; raw total energy = -3.16 eV/atom
1.0
4.5565 0.0000 0.0000
-2.2783 3.9461 0.0000
0.0000 0.0000 8.5472
Se Na Ag K
2 1 2 1
Direct
0.6667 0.3333 0.7281
0.3333 0.6667 0.2719
0.0000 0.0000 0.5000
0.6667 0.3333 0.2912
0.3333 0.6667 0.7088
0.0000 0.0000 0.0000


Entry 3:
KNa2AgSn GGA-PBE relaxed; magnetization = 0.0 μB per cell; ΔE to the lowest computed polymorph = 14 meV per atom; density = 2.73 g/cm³; raw total energy = -2.14 eV/atom; energy of formation = -25.2 meV per atom
1.0
-0.3194 1.5615 5.7290
3.6364 -4.4841 1.4250
4.2245 3.2216 -0.6426
Na Sn Ag K
2 1 1 1
Direct
0.5000 0.0000 0.0000
0.0000 0.5000 0.0000
0.0000 0.0000 0.0000
0.0000 0.0000 0.5000
0.5000 0.5000 0.5000


Entry 4:
K2NaAgSn GGA-PBE relaxed; magnetization = 0.0 μB per cell; density = 2.52 g/cm³; raw total energy = -2.04 eV/atom; energy of formation = 34.6 meV per atom
1.0
-3.8501 -4.5171 2.4468
-2.1864 -1.3261 -5.8886
3.7943 -3.5626 -0.6065
Sn Ag Na K
1 1 1 2
Direct
0.0000 0.0000 0.5000
0.0000 0.0000 0.0000
0.5000 0.5000 0.5000
0.5000 0.0000 0.0000
0.0000 0.5000 0.0000


Look up the magnetization of the second one.
0.0 μB per cell